Entry 1:
Material: TiTlOsC2
Method: DFT, SCAN
State: single point on PBEsol structure

Properties
Total DFT energy (no corrections) = -33.776 eV per atom
Space-group type = No. 123
D(E_F) = 4.48 states/eV/f.u.

Unit cell a=3.9402 b=3.9402 c=5.2791 alpha=90.00 beta=90.00 gamma=90.00
Positions (direct):
Ti: 0.0000 0.0000 0.0000
Tl: 0.0000 0.0000 0.5000
Os: 0.5000 0.5000 0.5000
C: 0.0000 0.5000 0.0000
C: 0.5000 0.0000 0.0000



Entry 2:
Material: U2OsC2
Method: DFT, SCAN
State: single point on PBEsol structure

Properties
Total DFT energy (no corrections) = -59.959 eV per atom
Space-group type = No. 139
D(E_F) = 6.16 states/eV/f.u.

Unit cell a=3.4096 b=3.4096 c=12.3775 alpha=90.00 beta=90.00 gamma=90.00
Positions (direct):
U: 0.0000 0.0000 0.1451
U: 0.0000 0.0000 0.8549
U: 0.5000 0.5000 0.3549
U: 0.5000 0.5000 0.6451
Os: 0.0000 0.0000 0.5000
Os: 0.5000 0.5000 0.0000
C: 0.0000 0.0000 0.3283
C: 0.0000 0.0000 0.6717
C: 0.5000 0.5000 0.1717
C: 0.5000 0.5000 0.8283



Entry 3:
Material: Os3WC
Method: DFT, SCAN
State: single point on PBEsol structure

Properties
Total DFT energy (no corrections) = -58.439 eV per atom
Space-group type = No. 221
D(E_F) = 4.34 states/eV/f.u.

Unit cell a=4.0267 b=4.0267 c=4.0267 alpha=90.00 beta=90.00 gamma=90.00
Positions (direct):
Os: 0.0000 0.0000 0.5000
Os: 0.0000 0.5000 0.0000
Os: 0.5000 0.0000 0.0000
W: 0.5000 0.5000 0.5000
C: 0.0000 0.0000 0.0000



Entry 4:
Material: PC4
Method: DFT, SCAN
State: single point on PBEsol structure

Properties
Total DFT energy (no corrections) = -7.731 eV per atom
Space-group type = No. 139
D(E_F) = 1.04 states/eV/f.u.

Unit cell a=5.7682 b=5.7682 c=2.3592 alpha=90.00 beta=90.00 gamma=90.00
Positions (direct):
P: 0.0000 0.0000 0.0000
P: 0.5000 0.5000 0.5000
C: 0.0000 0.3382 0.0000
C: 0.0000 0.6618 0.0000
C: 0.1618 0.5000 0.5000
C: 0.3382 0.0000 0.0000
C: 0.5000 0.1618 0.5000
C: 0.5000 0.8382 0.5000
C: 0.6618 0.0000 0.0000
C: 0.8382 0.5000 0.5000